Below is AcPu2ThP4 after structural relaxation, with properties calculated at the GGA-PBE level.

Cell and atoms, written as POSCAR:
```
AcPu2ThP4
1.0
4.159 0.000 0.000
0.000 7.131 -0.118
0.000 2.537 6.771
Ac Pu Th P
1 2 1 4
direct
0.500 0.500 0.000 Ac
0.000 0.000 0.000 Pu
0.500 0.000 0.500 Pu
0.000 0.500 0.500 Th
0.000 0.773 0.731 P
0.000 0.227 0.269 P
0.500 0.764 0.255 P
0.500 0.236 0.745 P
```

## Properties
Space-group type: P2/m, No. 10
Magnetic moment in μB per atom: 1.291
VASP energy in eV per atom: -9.032
Calculated density in g/cm³: 8.8

---

Below is Ta2PdN2 after structural relaxation, with properties calculated at the GGA-PBE level.

Cell and atoms, written as POSCAR:
```
Ta2PdN2
1.0
3.701 0.000 0.000
0.000 3.701 0.000
1.851 1.851 4.877
N Pd Ta
2 1 2
direct
0.750 0.250 0.500 N
0.250 0.750 0.500 N
0.000 0.000 0.000 Pd
0.347 0.347 0.305 Ta
0.653 0.653 0.695 Ta
```

## Properties
Distance to the lowest polymorph of the same formula in eV per atom: 0.000
Space-group type: I4/mmm, No. 139
Magnetic moment in μB per atom: 0.000
Calculated density in g/cm³: 12.3

---

Below is Li3Cr after structural relaxation, with properties calculated at the GGA-PBE level.

Cell and atoms, written as POSCAR:
```
Li3Cr
1.0
5.066 0.007 0.000
-1.758 4.751 0.000
0.000 0.000 2.998
Cr Li
1 3
direct
0.000 0.000 0.000 Cr
0.000 0.500 0.500 Li
0.500 0.000 0.500 Li
0.500 0.500 0.000 Li
```

## Properties
Distance to the lowest polymorph of the same formula in eV per atom: 0.000
Space-group type: Cmmm, No. 65
Magnetic moment in μB per atom: 1.104
Calculated density in g/cm³: 1.7

---

Below is U5Ru2 after structural relaxation, with properties calculated at the GGA-PBE level.

Cell and atoms, written as POSCAR:
```
U5Ru2
1.0
4.599 -0.005 0.003
-2.305 3.829 -1.168
0.005 -0.477 7.599
U Ru
5 2
direct
0.354 0.708 0.062 U
0.646 0.292 0.938 U
0.207 0.415 0.624 U
0.500 0.000 0.500 U
0.793 0.585 0.376 U
0.066 0.133 0.200 Ru
0.934 0.867 0.800 Ru
```

## Properties
Space-group type: P-1, No. 2
Magnetic moment in μB per atom: 0.203
VASP energy in eV per atom: -10.813
Calculated density in g/cm³: 17.6

---

Below is Pr2Ga3NiIr4 after structural relaxation, with properties calculated at the GGA-PBE level.

Cell and atoms, written as POSCAR:
```
Pr2Ga3NiIr4
1.0
-0.827 -3.777 1.732
4.102 -0.461 0.954
-1.621 4.560 9.168
Pr Ga Ni Ir
2 3 1 4
direct
0.500 0.000 0.249 Pr
0.000 0.500 0.751 Pr
0.000 0.000 0.500 Ga
0.500 0.000 0.871 Ga
0.000 0.500 0.129 Ga
0.500 0.500 0.500 Ni
0.500 0.500 0.000 Ir
0.000 0.000 0.000 Ir
0.500 0.000 0.631 Ir
0.000 0.500 0.369 Ir
```

## Properties
Space-group type: P-4m2, No. 115
Magnetic moment in μB per atom: 0.058
VASP energy in eV per atom: -6.566
Calculated density in g/cm³: 11.8

---

Below is K2TcPt after structural relaxation, with properties calculated at the GGA-PBE level.

Cell and atoms, written as POSCAR:
```
K2TcPt
1.0
-1.403 -2.227 -1.121
3.311 -2.335 0.496
-3.224 -2.613 9.221
K Pt Tc
2 1 1
direct
0.000 0.000 0.914 K
0.500 0.500 0.342 K
0.000 0.000 0.581 Pt
0.500 0.500 0.662 Tc
```

## Properties
Distance to the lowest polymorph of the same formula in eV per atom: 0.000
Space-group type: Pmm2, No. 25
Magnetic moment in μB per atom: 0.000
Calculated density in g/cm³: 5.2

---

Below is PmPrSm4 after structural relaxation, with properties calculated at the GGA-PBE level.

Cell and atoms, written as POSCAR:
```
PmPrSm4
1.0
6.703 0.000 0.000
3.352 5.805 0.000
3.352 1.935 5.473
Pr Sm Pm
1 4 1
direct
0.000 0.000 0.000 Pr
0.625 0.625 0.126 Sm
0.625 0.126 0.625 Sm
0.625 0.625 0.625 Sm
0.126 0.625 0.625 Sm
0.250 0.250 0.250 Pm
```

## Properties
Distance to the lowest polymorph of the same formula in eV per atom: 0.247
Space-group type: F-43m, No. 216
Magnetic moment in μB per atom: 0.001
Calculated density in g/cm³: 6.9

---

Below is Y2ZnSi3Pt4 after structural relaxation, with properties calculated at the GGA-PBE level.

Cell and atoms, written as POSCAR:
```
Y2ZnSi3Pt4
1.0
-3.574 2.044 -0.787
-1.742 -1.741 3.391
3.188 7.733 5.608
Y Zn Si Pt
2 1 3 4
direct
0.500 0.000 0.253 Y
0.000 0.500 0.747 Y
0.500 0.500 0.500 Zn
0.000 0.000 0.500 Si
0.500 0.000 0.869 Si
0.000 0.500 0.131 Si
0.500 0.500 0.000 Pt
0.000 0.000 0.000 Pt
0.500 0.000 0.637 Pt
0.000 0.500 0.363 Pt
```

## Properties
Space-group type: P-4m2, No. 115
Magnetic moment in μB per atom: 0.000
VASP energy in eV per atom: -6.509
Calculated density in g/cm³: 10.4

---

Below is Dy3ZrCo8 after structural relaxation, with properties calculated at the GGA-PBE level.

Cell and atoms, written as POSCAR:
```
Dy3ZrCo8
1.0
4.805 0.000 1.451
2.184 4.280 1.451
-0.005 -0.003 8.700
Dy Zr Co
3 1 8
direct
0.375 0.375 0.876 Dy
0.000 0.000 0.001 Dy
0.500 0.500 0.500 Dy
0.875 0.875 0.374 Zr
0.933 0.437 0.193 Co
0.443 0.938 0.682 Co
0.437 0.437 0.193 Co
0.938 0.938 0.682 Co
0.188 0.188 0.437 Co
0.688 0.688 0.937 Co
0.437 0.933 0.193 Co
0.938 0.443 0.682 Co
```

## Properties
Space-group type: R3m, No. 160
Magnetic moment in μB per atom: 0.558
VASP energy in eV per atom: -6.816
Calculated density in g/cm³: 9.7

---

Below is TaBAu3 after structural relaxation, with properties calculated at the GGA-PBE level.

Cell and atoms, written as POSCAR:
```
TaBAu3
1.0
-2.102 -1.207 3.632
3.729 0.289 2.254
-0.863 4.187 0.891
B Au Ta
1 3 1
direct
0.000 0.000 0.000 B
0.000 0.500 0.000 Au
0.000 0.000 0.500 Au
0.500 0.000 0.000 Au
0.500 0.500 0.500 Ta
```

## Properties
Distance to the lowest polymorph of the same formula in eV per atom: 0.000
Space-group type: Pm-3m, No. 221
Magnetic moment in μB per atom: 0.000
Calculated density in g/cm³: 15.6

---

Below is Ta2WAu after structural relaxation, with properties calculated at the GGA-PBE level.

Cell and atoms, written as POSCAR:
```
Ta2WAu
1.0
-3.849 3.984 2.726
-1.611 -4.727 -1.275
-0.456 -0.798 2.686
Au Ta W
1 2 1
direct
0.500 0.500 0.000 Au
0.000 0.000 0.000 Ta
0.500 0.000 0.500 Ta
0.000 0.500 0.500 W
```

## Properties
Distance to the lowest polymorph of the same formula in eV per atom: 0.170
Space-group type: C2/m, No. 12
Magnetic moment in μB per atom: 0.000
Calculated density in g/cm³: 17.6

---

Below is CsLiUI6 after structural relaxation, with properties calculated at the GGA-PBE level.

Cell and atoms, written as POSCAR:
```
CsLiUI6
1.0
-3.452 -5.213 -4.708
7.796 0.687 0.029
1.018 -12.103 12.655
Cs Li U I
2 2 2 12
direct
0.000 0.000 0.000 Cs
0.000 0.000 0.500 Cs
0.667 0.333 0.250 Li
0.333 0.667 0.750 Li
0.333 0.667 0.250 U
0.667 0.333 0.750 U
0.632 0.633 0.151 I
0.002 0.368 0.151 I
0.368 0.002 0.651 I
0.998 0.632 0.849 I
0.367 0.368 0.349 I
0.002 0.633 0.349 I
0.633 0.002 0.849 I
0.632 0.998 0.349 I
0.998 0.367 0.651 I
0.367 0.998 0.151 I
0.633 0.632 0.651 I
0.368 0.367 0.849 I
```

## Properties
Space-group type: P-31c, No. 163
Magnetic moment in μB per atom: 0.222
VASP energy in eV per atom: -3.671
Calculated density in g/cm³: 4.1